The following is a DFT calculation (PBE) of an optimized crystal structure of HoTmPuMg.

Structure (CIF):
```
data_HoTmPuMg
_chemical_formula_sum 'Ho4 Tm4 Pu4 Mg4'
_symmetry_space_group_name_H-M 'F -4 3 m'
_symmetry_Int_Tables_number 216
_symmetry_space_group_name_Hall 'F -4 2 3'
_cell_length_a 7.655
_cell_length_b 7.655
_cell_length_c 7.655
_cell_angle_alpha 90.00
_cell_angle_beta 90.00
_cell_angle_gamma 90.00
loop_
_atom_site_label
_atom_site_type_symbol
_atom_site_fract_x
_atom_site_fract_y
_atom_site_fract_z
Ho1 Ho 0.000 0.000 0.000
Tm1 Tm 0.000 0.000 0.500
Pu1 Pu 0.250 0.250 0.250
Mg1 Mg 0.250 0.250 0.750
```

Formation enthalpy at 0 K: 0.1467 eV per atom

The following is a DFT calculation (PBE) of an optimized crystal structure of AcTaBeN3.

Structure (CIF):
```
data_AcTaBeN3
_chemical_formula_sum 'Ac2 Ta2 Be2 N6'
_symmetry_space_group_name_H-M 'P 1 21/m 1'
_symmetry_Int_Tables_number 11
_cell_length_a 7.060
_cell_length_b 3.256
_cell_length_c 7.145
_cell_angle_alpha 90.00
_cell_angle_beta 108.40
_cell_angle_gamma 90.00
loop_
_symmetry_equiv_pos_as_xyz
'x,y,z'
'-x,-y,-z'
'-x,y+1/2,-z'
'x,-y+1/2,z'
loop_
_atom_site_label
_atom_site_type_symbol
_atom_site_fract_x
_atom_site_fract_y
_atom_site_fract_z
Ac1 Ac 0.205 0.250 0.235
Ta1 Ta 0.334 0.750 0.844
Be1 Be 0.079 0.250 0.604
N1 N 0.125 0.250 0.855
N2 N 0.168 0.750 0.540
N3 N 0.462 0.750 0.161
```

Uncorrected energy: -102.57 eV for the cell shown

The following is a DFT calculation (PBE) of an optimized crystal structure of Cd3AgF.

Structure (CIF):
```
data_Cd3AgF
_chemical_formula_sum 'Cd3 Ag1 F1'
_symmetry_space_group_name_H-M 'P m -3 m'
_symmetry_Int_Tables_number 221
_symmetry_space_group_name_Hall '-P 4 2 3'
_cell_length_a 5.300
_cell_length_b 5.300
_cell_length_c 5.300
_cell_angle_alpha 90.00
_cell_angle_beta 90.00
_cell_angle_gamma 90.00
loop_
_atom_site_label
_atom_site_type_symbol
_atom_site_fract_x
_atom_site_fract_y
_atom_site_fract_z
Cd1 Cd 0.000 0.000 0.500
Ag1 Ag 0.000 0.000 0.000
F1 F 0.500 0.500 0.500
```

ΔE to the lowest computed polymorph: 98.3 meV/atom

Please write out number 1 again, unchanged.
The following is a DFT calculation (PBE) of an optimized crystal structure of HoTmPuMg.

Structure (CIF):
```
data_HoTmPuMg
_chemical_formula_sum 'Ho4 Tm4 Pu4 Mg4'
_symmetry_space_group_name_H-M 'F -4 3 m'
_symmetry_Int_Tables_number 216
_symmetry_space_group_name_Hall 'F -4 2 3'
_cell_length_a 7.655
_cell_length_b 7.655
_cell_length_c 7.655
_cell_angle_alpha 90.00
_cell_angle_beta 90.00
_cell_angle_gamma 90.00
loop_
_atom_site_label
_atom_site_type_symbol
_atom_site_fract_x
_atom_site_fract_y
_atom_site_fract_z
Ho1 Ho 0.000 0.000 0.000
Tm1 Tm 0.000 0.000 0.500
Pu1 Pu 0.250 0.250 0.250
Mg1 Mg 0.250 0.250 0.750
```

Formation enthalpy at 0 K: 0.1467 eV per atom